Record 1
Below is a geometry-optimized Si2NiSb4 structure, with properties calculated at the GGA-PBE level.

a b c (Å): 5.1462 5.1462 12.9769
angles (deg): 90.00 90.00 90.00
Atoms (fractional coordinates):
Si (0.0000, 0.0000, 0.0958)
Si (0.0000, 0.0000, 0.9042)
Si (0.5000, 0.5000, 0.4042)
Si (0.5000, 0.5000, 0.5958)
Ni (0.0000, 0.0000, 0.5000)
Ni (0.5000, 0.5000, 0.0000)
Sb (0.0000, 0.0000, 0.2973)
Sb (0.0000, 0.0000, 0.7027)
Sb (0.0000, 0.5000, 0.0000)
Sb (0.0000, 0.5000, 0.5000)
Sb (0.5000, 0.0000, 0.0000)
Sb (0.5000, 0.0000, 0.5000)
Sb (0.5000, 0.5000, 0.2027)
Sb (0.5000, 0.5000, 0.7973)

formation energy from raw total energies: 0.439 eV/atom
uncorrected energy: -60.08 eV/cell
SG: I4/mmm
mass density: 5.82 g/cm3

=====

Record 2
Below is a geometry-optimized SiNiSbTe2 structure, with properties calculated at the GGA-PBE level.

a b c (Å): 5.1929 5.1929 4.7432
angles (deg): 90.00 90.00 90.00
Atoms (fractional coordinates):
Si (0.0000, 0.0000, 0.0000)
Ni (0.5000, 0.5000, 0.5000)
Sb (0.5000, 0.5000, 0.0000)
Te (0.0000, 0.5000, 0.5000)
Te (0.5000, 0.0000, 0.5000)

formation energy from raw total energies: 0.550 eV/atom
uncorrected energy: -18.86 eV/cell
SG: P4/mmm
mass density: 6.02 g/cm3
distance to the lowest polymorph of the same formula: 0.00 kcal/mol of atoms

=====

no.,D(E_F) (states/eV per atom)
1,0.561
2,0.739